# 1
The following is a DFT calculation (PBE) of a relaxed NaTcTeO6 crystal.

energy relative to the elements, uncorrected = -1.27 eV/atom

abc: 5.3077 5.3077 10.4077
angles: 90.00 90.00 120.00
Closest atoms and distances in Å follow each position.
Sites, in units of the cell vectors:
O 0.0103 0.3839 0.1453  1 Tc 1.95, 1 Te 2.02
O 0.9897 0.6161 0.8547  1 Tc 1.95, 1 Te 2.02
O 0.3736 0.3839 0.3547  1 Tc 1.95, 1 Te 2.02
O 0.6264 0.6161 0.6453  1 Tc 1.95, 1 Te 2.02
O 0.9897 0.3736 0.6453  1 Tc 1.95, 1 Te 2.02
O 0.0103 0.6264 0.3547  1 Tc 1.95, 1 Te 2.02
O 0.6264 0.0103 0.8547  1 Tc 1.95, 1 Te 2.02
O 0.3736 0.9897 0.1453  1 Tc 1.95, 1 Te 2.02
O 0.3839 0.0103 0.6453  1 Tc 1.95, 1 Te 2.02
O 0.6161 0.6264 0.1453  1 Tc 1.95, 1 Te 2.02
O 0.6161 0.9897 0.3547  1 Tc 1.95, 1 Te 2.02
O 0.3839 0.3736 0.8547  1 Tc 1.95, 1 Te 2.02
Na 0.0000 0.0000 0.5000  6 O 2.52
Na 0.0000 0.0000 0.0000  6 O 2.52
Tc 0.3333 0.6667 0.2500  6 O 1.95
Tc 0.6667 0.3333 0.7500  6 O 1.95
Te 0.6667 0.3333 0.2500  6 O 2.02
Te 0.3333 0.6667 0.7500  6 O 2.02

=====

# 2
The following is a DFT calculation (PBE) of a relaxed NaZnTe crystal.

energy relative to the elements, uncorrected = -0.54 eV/atom

abc: 7.3355 4.3992 8.4834
angles: 141.09 83.54 89.98
Closest atoms and distances in Å follow each position.
Sites, in units of the cell vectors:
Zn 0.6499 0.8042 0.1181  1 Zn 2.46
Zn 0.5439 0.1857 0.7055  1 Zn 2.46
Te 0.8450 0.5179 0.2605  3 Zn 2.80-2.94, 1 Na 3.11
Te 0.3489 0.4718 0.5630  3 Zn 2.80-2.94, 1 Na 3.11
Na 0.2909 0.3608 0.1557  4 Te 3.11-3.22, 2 Zn 3.41
Na 0.9025 0.6292 0.6679  4 Te 3.11-3.22, 2 Zn 3.41

=====

# 3
The following is a DFT calculation (PBE) of a relaxed Ta2BiW crystal.

formation enthalpy at 0 K = 4.42 eV/f.u.

abc: 4.1213 4.1213 10.3240
angles: 78.49 78.49 90.00
Closest atoms and distances in Å follow each position.
Sites, in units of the cell vectors:
Ta 0.8750 0.8717 0.7500  2 W 2.87, 2 Bi 2.88, 4 Ta 2.90-2.93
Ta 0.1283 0.6250 0.2500  2 W 2.87, 2 Bi 2.88, 4 Ta 2.90-2.93
Ta 0.3750 0.3783 0.7500  2 W 2.87, 2 Bi 2.88, 4 Ta 2.90-2.93
Ta 0.6217 0.1250 0.2500  2 W 2.87, 2 Bi 2.88, 4 Ta 2.90-2.93
W 0.2500 0.7500 0.5000  4 Ta 2.87, 4 Bi 2.91
W 0.5000 0.5000 0.0000  4 Ta 2.87, 4 Bi 2.91
Bi 0.7500 0.2500 0.5000  4 Ta 2.88, 4 W 2.91
Bi 0.0000 0.0000 0.0000  4 Ta 2.88, 4 W 2.91

=====

# 4
The following is a DFT calculation (PBE) of a relaxed Ag9PSe6 crystal.

energy relative to the elements, uncorrected = -0.02 eV/atom

abc: 11.3378 11.3378 11.3378
angles: 90.00 90.00 90.00
Closest atoms and distances in Å follow each position.
Sites, in units of the cell vectors:
Se 0.0123 0.0123 0.0123  6 Ag 2.66-2.79
Se 0.4013 0.6564 0.3796  1 P 2.50, 4 Ag 2.59-2.75
Se 0.4877 0.9877 0.5123  6 Ag 2.66-2.79
Se 0.0987 0.3436 0.8796  1 P 2.50, 4 Ag 2.59-2.75
Se 0.6564 0.3796 0.4013  1 P 2.50, 4 Ag 2.59-2.75
Se 0.7304 0.7696 0.2304  6 Ag 2.70-2.76
Se 0.8824 0.3824 0.1176  1 P 2.31
Se 0.1204 0.5987 0.1564  1 P 2.50, 4 Ag 2.59-2.75
Se 0.3824 0.1176 0.8824  1 P 2.31
Se 0.3796 0.4013 0.6564  1 P 2.50, 4 Ag 2.59-2.75
Se 0.5987 0.1564 0.1204  1 P 2.50, 4 Ag 2.59-2.75
Se 0.9013 0.8436 0.6204  1 P 2.50, 4 Ag 2.59-2.75
Se 0.2304 0.7304 0.7696  6 Ag 2.70-2.76
Se 0.8796 0.0987 0.3436  1 P 2.50, 4 Ag 2.59-2.75
Se 0.5123 0.4877 0.9877  6 Ag 2.66-2.79
Se 0.2696 0.2696 0.2696  6 Ag 2.70-2.76
Se 0.9877 0.5123 0.4877  6 Ag 2.66-2.79
Se 0.1564 0.1204 0.5987  1 P 2.50, 4 Ag 2.59-2.75
Se 0.8436 0.6204 0.9013  1 P 2.50, 4 Ag 2.59-2.75
Se 0.1176 0.8824 0.3824  1 P 2.31
Se 0.6176 0.6176 0.6176  1 P 2.31
Se 0.3436 0.8796 0.0987  1 P 2.50, 4 Ag 2.59-2.75
Se 0.6204 0.9013 0.8436  1 P 2.50, 4 Ag 2.59-2.75
Se 0.7696 0.2304 0.7304  6 Ag 2.70-2.76
Ag 0.5389 0.2642 0.7776  3 Se 2.70-2.75
Ag 0.3841 0.1897 0.5706  3 Se 2.59-2.72
Ag 0.5706 0.3841 0.1897  3 Se 2.59-2.72
Ag 0.0289 0.8558 0.8236  3 Se 2.72-2.79, 2 Ag 2.99-3.01
Ag 0.8841 0.3103 0.4294  3 Se 2.59-2.72
Ag 0.3558 0.6764 0.9711  3 Se 2.72-2.79, 2 Ag 2.99-3.01
Ag 0.4711 0.1442 0.3236  3 Se 2.72-2.79, 2 Ag 2.99-3.01
Ag 0.8236 0.0289 0.8558  3 Se 2.72-2.79, 2 Ag 2.99-3.01
Ag 0.7358 0.2776 0.9611  3 Se 2.70-2.75
Ag 0.1897 0.5706 0.3841  3 Se 2.59-2.72
Ag 0.6764 0.9711 0.3558  3 Se 2.72-2.79, 2 Ag 2.99-3.01
Ag 0.7642 0.7224 0.4611  3 Se 2.70-2.75
Ag 0.9711 0.3558 0.6764  3 Se 2.72-2.79, 2 Ag 2.99-3.01
Ag 0.4294 0.8841 0.3103  3 Se 2.59-2.72
Ag 0.4611 0.7642 0.7224  3 Se 2.70-2.75
Ag 0.8558 0.8236 0.0289  3 Se 2.72-2.79, 2 Ag 2.99-3.01
Ag 0.1764 0.5289 0.6442  3 Se 2.72-2.79, 2 Ag 2.99-3.01
Ag 0.2776 0.9611 0.7358  3 Se 2.70-2.75
Ag 0.0389 0.2358 0.2224  3 Se 2.70-2.75
Ag 0.8103 0.0706 0.1159  3 Se 2.59-2.72
Ag 0.5289 0.6442 0.1764  3 Se 2.72-2.79, 2 Ag 2.99-3.01
Ag 0.1159 0.8103 0.0706  3 Se 2.59-2.72
Ag 0.9294 0.6159 0.6897  3 Se 2.59-2.72
Ag 0.7224 0.4611 0.7642  3 Se 2.70-2.75
Ag 0.6442 0.1764 0.5289  3 Se 2.72-2.79, 2 Ag 2.99-3.01
Ag 0.9611 0.7358 0.2776  3 Se 2.70-2.75
Ag 0.2224 0.0389 0.2358  3 Se 2.70-2.75
Ag 0.6897 0.9294 0.6159  3 Se 2.59-2.72
Ag 0.2358 0.2224 0.0389  3 Se 2.70-2.75
Ag 0.2642 0.7776 0.5389  3 Se 2.70-2.75
Ag 0.7776 0.5389 0.2642  3 Se 2.70-2.75
Ag 0.3236 0.4711 0.1442  3 Se 2.72-2.79, 2 Ag 2.99-3.01
Ag 0.1442 0.3236 0.4711  3 Se 2.72-2.79, 2 Ag 2.99-3.01
Ag 0.3103 0.4294 0.8841  3 Se 2.59-2.72
Ag 0.6159 0.6897 0.9294  3 Se 2.59-2.72
Ag 0.0706 0.1159 0.8103  3 Se 2.59-2.72
P 0.9999 0.4999 0.0001  4 Se 2.31-2.50
P 0.0001 0.9999 0.4999  4 Se 2.31-2.50
P 0.4999 0.0001 0.9999  4 Se 2.31-2.50
P 0.5001 0.5001 0.5001  4 Se 2.31-2.50

=====

Record-wise spin magnetization values, in Bohr magnetons per cell: 0.00; 0.00; 0.00; 0.00